# GGA+U SrCrPtO6, relaxed
data_SrCrPtO6
_symmetry_space_group_name_H-M 'C 1 2 1'
_symmetry_Int_Tables_number 5
_cell_length_a 5.228
_cell_length_b 8.969
_cell_length_c 5.376
_cell_angle_alpha 90.00
_cell_angle_beta 90.35
_cell_angle_gamma 90.00
loop_
_symmetry_equiv_pos_as_xyz
'x,y,z'
'-x,y,-z'
'x+1/2,y+1/2,z'
'-x+1/2,y+1/2,-z'
loop_
_atom_site_label
_atom_site_fract_x
_atom_site_fract_y
_atom_site_fract_z
Sr1 0.000 0.000 0.000
Cr1 0.000 0.671 0.500
Pt1 0.000 0.333 0.500
O1 0.126 0.505 0.697
O2 0.182 0.807 0.700
O3 0.194 0.189 0.704
# E_tot   -6.35 eV/atom
# Magnetization   0.1 μB/cell